No. 1
Material: Tb2Sm3ScS6
Method: DFT, PBE
State: relaxed

Geometry as POSCAR:
```
Tb2Sm3ScS6
1.0
3.914 0.000 0.000
0.000 7.915 0.247
-1.957 -2.318 8.257
S Tb Sm Sc
6 2 3 1
Cartesian
1.957 3.803 2.924
0.000 1.844 0.063
1.957 3.753 8.441
0.000 1.794 5.579
1.957 -0.067 2.655
0.000 5.664 5.849
0.000 1.863 2.820
1.957 3.734 5.683
1.957 3.958 0.123
1.957 -0.230 5.516
0.000 5.828 2.988
1.957 0.000 0.000
```

Computed properties:
total magnetic moment: 0.00 μB per atom
VASP energy: -6.5244 eV per atom
space-group type: C2/m (12)

---

No. 2
Material: LiBe2Cd2
Method: DFT, PBE
State: relaxed

Geometry as POSCAR:
```
LiBe2Cd2
1.0
-3.073 1.052 -6.745
-6.798 -1.154 2.917
-0.233 2.707 0.528
Li Be Cd
2 4 4
Cartesian
-4.935 -0.051 -1.914
0.000 0.000 0.000
-5.487 1.840 -4.596
-2.068 1.633 -2.031
-4.616 0.765 1.295
-8.035 0.971 -1.270
-7.152 0.072 -3.522
-3.339 0.507 -4.072
-6.531 -0.610 0.243
-2.719 -0.174 -0.306
```

Computed properties:
total magnetic moment: 0.00 μB per atom
VASP energy: -1.9934 eV per atom
energy above the most stable polymorph in this dataset: 0.358 eV per formula unit
space-group type: P4/mbm (127)
calculated formation energy: 0.25 eV/atom

---

No. 3
Material: YPuSc2
Method: DFT, PBE
State: relaxed

Geometry as POSCAR:
```
YPuSc2
1.0
-2.173 -1.773 1.900
-0.712 -1.975 -2.658
6.855 -5.773 2.453
Pu Y Sc
1 1 2
Cartesian
-1.443 -1.874 -0.379
1.985 -4.761 0.847
1.629 -1.372 0.583
5.226 -4.401 1.870
```

Computed properties:
total magnetic moment: 1.51 μB per atom
VASP energy: -8.2616 eV per atom
energy above the most stable polymorph in this dataset: 0.000 eV per formula unit
space-group type: P4/mmm (123)
calculated formation energy: 0.10 eV/atom

---

No. 4
Material: Lu12Hg3H5
Method: DFT, PBE
State: relaxed

Geometry as POSCAR:
```
Lu12Hg3H5
1.0
13.099 0.000 0.000
-4.366 12.350 0.000
-4.366 -6.175 10.696
Hg Lu H
12 48 20
Cartesian
1.092 -0.772 4.011
5.458 0.772 4.011
7.641 3.859 1.337
3.275 6.947 6.685
7.641 8.491 1.337
9.824 0.000 2.674
3.275 0.000 8.022
-1.092 5.403 6.685
1.092 6.175 2.674
-3.275 -2.316 9.359
-3.275 2.316 9.359
-5.458 6.175 8.022
8.261 0.627 5.219
5.127 1.791 9.664
1.711 4.430 7.414
-0.760 4.384 1.031
3.395 5.025 4.312
-0.760 7.964 1.035
-1.711 -0.627 5.219
6.570 3.608 4.187
-2.204 2.567 6.508
-5.127 0.002 8.629
5.127 -1.789 9.660
-4.387 8.742 4.187
8.712 1.265 0.129
2.943 4.387 1.035
1.423 -1.791 9.664
-2.204 -4.910 10.566
7.022 -1.119 2.196
2.943 7.966 1.031
0.020 3.832 4.317
1.423 1.789 9.660
9.493 6.173 2.067
-0.971 4.310 9.535
2.655 1.745 3.281
4.346 2.343 6.379
8.753 -2.567 6.508
-4.346 4.910 10.566
-5.578 3.160 7.544
5.338 9.335 3.152
3.894 -1.745 3.281
5.578 -1.150 6.383
5.338 1.866 1.160
2.204 -2.343 6.379
-3.155 10.485 1.160
6.570 11.085 0.129
0.472 7.920 7.414
-0.472 1.119 2.196
0.971 1.150 6.383
2.163 8.518 4.317
6.078 6.802 5.477
4.839 5.057 8.500
-1.423 -0.002 8.629
-1.212 7.325 4.312
-2.655 7.294 8.500
5.789 6.177 2.067
-3.894 5.548 5.477
7.521 -4.310 9.535
-0.971 -3.160 7.544
9.945 3.015 3.152
-3.275 6.947 4.011
1.092 -3.088 8.022
3.275 2.316 1.337
-4.366 3.088 5.348
4.366 -3.088 5.348
3.275 9.263 2.674
-1.092 0.772 6.685
-2.183 6.175 0.000
-1.092 10.034 1.337
6.550 0.000 0.000
5.458 -3.859 9.359
7.641 -0.772 6.685
1.092 3.859 9.359
2.183 3.088 5.348
5.458 5.403 4.011
4.366 6.175 0.000
0.000 0.000 0.000
5.458 3.088 8.022
-2.183 -3.088 5.348
-1.092 3.088 2.674
```

Computed properties:
total magnetic moment: 0.00 μB per atom
VASP energy: -3.8450 eV per atom
space-group type: Ia-3d (230)